1.
# Th3MnTe

Crystalline Th3MnTe at its relaxed geometry (GGA-PBE, Alexandria via LeMat-Bulk).

Values from the calculation:
- N(E_F): 1.110 states/eV per atom
- Calculated total energy: -0.535 Ry/atom
- Space group: No. 11
- Uncorrected formation energy: -0.362 eV per atom
- M_tot: 0.8 μB/f.u.

Cell: 3.995 8.872 8.326 Å, 104.98 90.00 90.00°
Each line ends with the local moment (μB).
Element x y z (fractional)
Th (0.250, 0.584, 0.309)  -0.11
Th (0.750, 0.416, 0.691)  -0.11
Th (0.250, 0.070, 0.700)  -0.08
Th (0.750, 0.248, 0.063)  -0.10
Th (0.750, 0.930, 0.300)  -0.08
Th (0.250, 0.752, 0.937)  -0.10
Mn (0.750, 0.582, 0.054)  1.30
Mn (0.250, 0.418, 0.946)  1.30
Te (0.750, 0.767, 0.614)  0.00
Te (0.250, 0.233, 0.386)  0.00

=====

2.
# Th3Mn5Te12

Crystalline Th3Mn5Te12 at its relaxed geometry (GGA-PBE, Alexandria via LeMat-Bulk).

Values from the calculation:
- N(E_F): 0.327 states/eV per atom
- Calculated total energy: -0.430 Ry/atom
- Space group: No. 230
- Uncorrected formation energy: -0.564 eV per atom
- M_tot: 23.0 μB/f.u.

Cell: 14.906 14.906 14.906 Å, 109.47 109.47 109.47°
Each line ends with the local moment (μB).
Element x y z (fractional)
Mn (0.125, 0.375, 0.250)  4.02
Mn (0.000, 0.500, 0.000)  3.96
Mn (0.000, 0.000, 0.000)  3.96
Mn (0.375, 0.250, 0.125)  4.02
Mn (0.500, 0.000, 0.500)  3.96
Mn (0.500, 0.500, 0.000)  3.96
Mn (0.125, 0.750, 0.375)  4.02
Mn (0.750, 0.125, 0.875)  4.02
Mn (0.750, 0.625, 0.375)  4.02
Mn (0.375, 0.125, 0.750)  4.02
Mn (0.625, 0.875, 0.250)  4.02
Mn (0.500, 0.500, 0.500)  3.96
Mn (0.500, 0.000, 0.000)  3.96
Mn (0.000, 0.000, 0.500)  3.96
Mn (0.250, 0.375, 0.625)  4.02
Mn (0.250, 0.875, 0.125)  4.02
Mn (0.000, 0.500, 0.500)  3.96
Mn (0.875, 0.250, 0.625)  4.02
Mn (0.625, 0.750, 0.875)  4.02
Mn (0.875, 0.625, 0.750)  4.02
Te (0.712, 0.124, 0.037)  0.00
Te (0.325, 0.537, 0.413)  0.00
Te (0.963, 0.376, 0.288)  0.00
Te (0.537, 0.212, 0.124)  0.00
Te (0.588, 0.712, 0.675)  0.00
Te (0.963, 0.587, 0.175)  0.00
Te (0.325, 0.788, 0.412)  0.00
Te (0.087, 0.912, 0.124)  0.00
Te (0.587, 0.963, 0.675)  0.00
Te (0.712, 0.588, 0.175)  0.00
Te (0.788, 0.463, 0.376)  0.00
Te (0.825, 0.913, 0.037)  0.00
Te (0.124, 0.712, 0.537)  0.00
Te (0.376, 0.413, 0.088)  0.00
Te (0.088, 0.913, 0.376)  0.00
Te (0.412, 0.124, 0.587)  0.00
Te (0.088, 0.175, 0.212)  0.00
Te (0.463, 0.675, 0.087)  0.00
Te (0.825, 0.912, 0.288)  0.00
Te (0.124, 0.412, 0.087)  0.00
Te (0.376, 0.963, 0.788)  0.00
Te (0.587, 0.624, 0.412)  0.00
Te (0.913, 0.825, 0.537)  0.00
Te (0.788, 0.325, 0.912)  0.00
Te (0.413, 0.376, 0.588)  0.00
Te (0.087, 0.175, 0.463)  0.00
Te (0.212, 0.675, 0.088)  0.00
Te (0.175, 0.088, 0.712)  0.00
Te (0.624, 0.037, 0.212)  0.00
Te (0.876, 0.588, 0.913)  0.00
Te (0.537, 0.325, 0.913)  0.00
Te (0.588, 0.876, 0.413)  0.00
Te (0.912, 0.825, 0.788)  0.00
Te (0.912, 0.087, 0.624)  0.00
Te (0.876, 0.288, 0.463)  0.00
Te (0.175, 0.087, 0.963)  0.00
Te (0.624, 0.587, 0.912)  0.00
Te (0.413, 0.037, 0.325)  0.00
Te (0.288, 0.412, 0.825)  0.00
Te (0.212, 0.537, 0.624)  0.00
Te (0.913, 0.088, 0.876)  0.00
Te (0.675, 0.212, 0.588)  0.00
Te (0.463, 0.788, 0.876)  0.00
Te (0.037, 0.413, 0.825)  0.00
Te (0.412, 0.288, 0.325)  0.00
Te (0.037, 0.624, 0.712)  0.00
Te (0.675, 0.463, 0.587)  0.00
Te (0.288, 0.876, 0.963)  0.00
Th (0.750, 0.375, 0.125)  0.19
Th (0.875, 0.750, 0.125)  0.19
Th (0.375, 0.750, 0.625)  0.19
Th (0.250, 0.125, 0.375)  0.19
Th (0.875, 0.125, 0.250)  0.19
Th (0.375, 0.625, 0.250)  0.19
Th (0.625, 0.375, 0.750)  0.19
Th (0.125, 0.875, 0.750)  0.19
Th (0.750, 0.875, 0.625)  0.19
Th (0.625, 0.250, 0.375)  0.19
Th (0.125, 0.250, 0.875)  0.19
Th (0.250, 0.625, 0.875)  0.19